# 1
Density functional theory data (GGA-PBE) for TlSe2 after structural relaxation.

Summary:
crystal system: hexagonal
E_tot: -3.083 eV per atom
energy relative to the elements, uncorrected: 0.029 eV per atom
calculated volume: 29.12 Å³ per atom
E above lowest polymorph: 206 meV/atom

Unit cell a=4.6854 b=4.6854 c=9.1913 alpha=90.00 beta=90.00 gamma=120.00
Space group P6_3/mmc (No. 194)
Unique sites:
Tl  0.0000  0.0000  0.2500
Se  0.3333  0.6667  0.0225

# 2
Density functional theory data (GGA-PBE) for TlSe after structural relaxation.

Summary:
crystal system: cubic
E_tot: -3.061 eV per atom
energy relative to the elements, uncorrected: -0.135 eV per atom
calculated volume: 47.55 Å³ per atom

Unit cell a=9.129 b=9.129 c=9.129 alpha=90.00 beta=90.00 gamma=90.00
Space group I-43m (No. 217)
Unique sites:
Tl  0.153  0.153  0.847
Se  0.171  0.171  0.171

# 3
Density functional theory data (GGA-PBE) for Tl3Se after structural relaxation.

Summary:
crystal system: tetragonal
E_tot: -2.857 eV per atom
energy relative to the elements, uncorrected: -0.211 eV per atom
calculated volume: 31.50 Å³ per atom

Unit cell a=12.311 b=12.311 c=6.652 alpha=90.00 beta=90.00 gamma=90.00
Space group P4_2/n (No. 86, origin choice 2)
Unique sites:
Tl  0.039  0.590  0.234
Tl  0.101  0.204  0.024
Tl  0.134  0.660  0.718
Se  0.063  0.191  0.527

# 4
Density functional theory data (GGA-PBE) for Tl2Se3 after structural relaxation.

Summary:
crystal system: orthorhombic
E_tot: -3.085 eV per atom
energy relative to the elements, uncorrected: -0.048 eV per atom
calculated volume: 29.84 Å³ per atom

Unit cell a=18.763 b=20.184 c=3.152 alpha=90.00 beta=90.00 gamma=90.00
Space group Fdd2 (No. 43)
Unique sites:
Tl  0.040  0.148  0.000
Se  0.000  0.000  0.518
Se  0.115  0.286  0.743

# 5
Density functional theory data (GGA-PBE) for Tl4Se after structural relaxation.

Summary:
crystal system: tetragonal
E_tot: -2.749 eV per atom
energy relative to the elements, uncorrected: -0.159 eV per atom
calculated volume: 30.35 Å³ per atom
E above lowest polymorph: 0 meV/atom

Unit cell a=8.569 b=8.569 c=4.133 alpha=90.00 beta=90.00 gamma=90.00
Space group I4/m (No. 87)
Unique sites:
Tl  0.086  0.275  0.000
Se  0.000  0.000  0.500

# 6
Density functional theory data (GGA-PBE) for Tl4Se after structural relaxation.

Summary:
crystal system: cubic
E_tot: -2.419 eV per atom
energy relative to the elements, uncorrected: 0.171 eV per atom
calculated volume: 41.81 Å³ per atom
E above lowest polymorph: 330 meV/atom

Unit cell a=5.935 b=5.935 c=5.935 alpha=90.00 beta=90.00 gamma=90.00
Space group Pm-3m (No. 221)
Unique sites:
Tl  0.000  0.000  0.000
Tl  0.000  0.500  0.500
Se  0.500  0.500  0.500

# 7
Density functional theory data (GGA-PBE) for Tl3Se5 after structural relaxation.

Summary:
crystal system: hexagonal
E_tot: -2.958 eV per atom
energy relative to the elements, uncorrected: 0.107 eV per atom
calculated volume: 27.12 Å³ per atom
E above lowest polymorph: 258 meV/atom

Unit cell a=9.0808 b=9.0808 c=6.0767 alpha=90.00 beta=90.00 gamma=120.00
Space group P6_3/mcm (No. 193)
Unique sites:
Tl  0.0000  0.2949  0.2500
Se  0.0000  0.3670  0.7500
Se  0.3333  0.6667  0.0000

# 8
Density functional theory data (GGA-PBE) for TlSe after structural relaxation.

Summary:
crystal system: cubic
E_tot: -3.108 eV per atom
energy relative to the elements, uncorrected: -0.183 eV per atom
calculated volume: 38.15 Å³ per atom

Unit cell a=6.733 b=6.733 c=6.733 alpha=90.00 beta=90.00 gamma=90.00
Space group F-43m (No. 216)
Unique sites:
Tl  0.000  0.000  0.000
Se  0.250  0.250  0.250

# 9
Density functional theory data (GGA-PBE) for Tl4Se after structural relaxation.

Summary:
crystal system: tetragonal
E_tot: -2.581 eV per atom
energy relative to the elements, uncorrected: 0.009 eV per atom
calculated volume: 33.50 Å³ per atom
E above lowest polymorph: 168 meV/atom

Unit cell a=4.293 b=4.293 c=18.179 alpha=90.00 beta=90.00 gamma=90.00
Space group I4/mmm (No. 139)
Unique sites:
Tl  0.000  0.000  0.084
Tl  0.000  0.500  0.250
Se  0.000  0.000  0.500

# 10
Density functional theory data (GGA-PBE) for TlSe2 after structural relaxation.

Summary:
crystal system: monoclinic
E_tot: -3.123 eV per atom
energy relative to the elements, uncorrected: -0.011 eV per atom
calculated volume: 31.08 Å³ per atom
E above lowest polymorph: 166 meV/atom

Unit cell a=9.418 b=4.156 c=9.578 alpha=90.00 beta=95.83 gamma=90.00
Space group C2/m (No. 12)
Unique sites:
Tl  0.157  0.000  0.131
Se  0.014  0.500  0.311
Se  0.236  0.000  0.625

# 11
Density functional theory data (GGA-PBE) for Tl2Se3 after structural relaxation.

Summary:
crystal system: cubic
E_tot: -3.203 eV per atom
energy relative to the elements, uncorrected: -0.165 eV per atom
calculated volume: 32.00 Å³ per atom

Unit cell a=10.858 b=10.858 c=10.858 alpha=90.00 beta=90.00 gamma=90.00
Space group I-43d (No. 220)
Unique sites:
Tl  0.035  0.035  0.035
Se  0.000  0.250  0.266

# 12
Density functional theory data (GGA-PBE) for TlSe after structural relaxation.

Summary:
crystal system: triclinic
E_tot: -3.198 eV per atom
energy relative to the elements, uncorrected: -0.273 eV per atom
calculated volume: 34.21 Å³ per atom

Unit cell a=5.059 b=5.406 c=5.663 alpha=94.14 beta=90.05 gamma=117.56
Space group P1 (No. 1)
Unique sites:
Tl  0.000  0.000  0.000
Tl  0.321  0.645  0.511
Se  0.654  0.309  0.764
Se  0.690  0.382  0.196